Computed, not measured: a relaxed structure of LiYS2N at the GGA-PBE level of DFT.

Cell: 4.562 4.562 3.740 Å, 90.00 90.00 90.00°
Fractional coordinates of all 5 atoms:
Y: 0.500 0.500 0.500
S: 0.000 0.500 0.000
S: 0.500 0.000 0.000
Li: 0.000 0.000 0.000
N: 0.000 0.000 0.500

Output
**Formation energy from raw total energies**: -0.21 eV per atom
**Raw total energy**: -26.0 eV for the cell shown

Computed, not measured: a relaxed structure of Hf2TaCd2 at the GGA-PBE level of DFT.

Cell: 3.062 3.049 11.749 Å, 82.54 90.00 90.00°
Fractional coordinates of all 5 atoms:
Hf: 0.500 0.410 0.181
Hf: 0.500 0.590 0.819
Ta: 0.000 0.000 0.000
Cd: 0.000 0.194 0.612
Cd: 0.000 0.806 0.388

Output
**Formation energy**: 0.035 eV/atom
**Raw total energy**: -33.4 eV for the cell shown